DFT (GGA-PBE) results for a relaxed structure of TlSn2Cl.

a = 5.3080 Å, b = 5.3080 Å, c = 5.3080 Å
α = 60.00°, β = 60.00°, γ = 60.00°
Fractional coordinates of all 4 atoms:
Tl1 0.5000 0.5000 0.5000
Sn1 0.2500 0.2500 0.2500
Sn2 0.7500 0.7500 0.7500
Cl1 0.0000 0.0000 0.0000

## Properties
- symmetry = Fm-3m (225)
- DOS at the Fermi energy (states/eV per cell) = 1.15
- total DFT energy (no corrections) (eV for the cell shown) = -12.512
- offset from the most stable computed form (meV per atom) = 134.3
- energy relative to the elements, uncorrected (kJ/mol of atoms) = -7.1



DFT (GGA-PBE) results for a relaxed structure of Tl2Sn2Cl.

a = 4.1951 Å, b = 4.1951 Å, c = 9.9151 Å
α = 77.79°, β = 77.79°, γ = 90.00°
Fractional coordinates of all 5 atoms:
Tl1 0.4116 0.4116 0.1768
Tl2 0.5884 0.5884 0.8232
Sn1 0.7500 0.2500 0.5000
Sn2 0.2500 0.7500 0.5000
Cl1 0.0000 0.0000 0.0000

## Properties
- symmetry = I4/mmm (139)
- DOS at the Fermi energy (states/eV per cell) = 2.62
- total DFT energy (no corrections) (eV for the cell shown) = -15.739
- offset from the most stable computed form (meV per atom) = 0.0
- energy relative to the elements, uncorrected (kJ/mol of atoms) = -22.3



DFT (GGA-PBE) results for a relaxed structure of Tl2Sn3Cl8.

a = 7.3402 Å, b = 8.5540 Å, c = 8.9138 Å
α = 118.67°, β = 107.12°, γ = 90.00°
Fractional coordinates of all 13 atoms:
Tl1 0.3363 0.2712 0.5423
Tl2 0.6637 0.7288 0.4577
Sn1 0.5000 0.0000 0.0000
Sn2 0.0000 0.2599 0.0000
Sn3 0.0000 0.7401 0.0000
Cl1 0.9491 0.6094 0.2189
Cl2 0.0509 0.3906 0.7811
Cl3 0.9018 0.1092 0.2183
Cl4 0.0982 0.8908 0.7817
Cl5 0.5990 0.6599 0.7799
Cl6 0.5990 0.1200 0.7799
Cl7 0.4010 0.8800 0.2201
Cl8 0.4010 0.3401 0.2201

## Properties
- symmetry = C2/m (12)
- DOS at the Fermi energy (states/eV per cell) = 0.00
- total DFT energy (no corrections) (eV for the cell shown) = -44.661
- offset from the most stable computed form (meV per atom) = 0.0
- energy relative to the elements, uncorrected (kJ/mol of atoms) = -97.6



DFT (GGA-PBE) results for a relaxed structure of Tl2SnCl.

a = 6.5259 Å, b = 6.5259 Å, c = 9.1029 Å
α = 68.99°, β = 68.99°, γ = 90.00°
Fractional coordinates of all 8 atoms:
Tl1 0.6335 0.1250 0.2500
Tl2 0.1165 0.6250 0.2500
Tl3 0.3750 0.3665 0.7500
Tl4 0.8750 0.8835 0.7500
Sn1 0.0000 0.0000 0.0000
Sn2 0.7500 0.2500 0.5000
Cl1 0.5000 0.5000 0.0000
Cl2 0.2500 0.7500 0.5000

## Properties
- symmetry = I-42d (122)
- DOS at the Fermi energy (states/eV per cell) = 2.52
- total DFT energy (no corrections) (eV for the cell shown) = -22.121
- offset from the most stable computed form (meV per atom) = 209.3
- energy relative to the elements, uncorrected (kJ/mol of atoms) = -11.5



DFT (GGA-PBE) results for a relaxed structure of TlSnCl4.

a = 7.9929 Å, b = 6.9029 Å, c = 8.7182 Å
α = 108.28°, β = 112.79°, γ = 100.34°
Fractional coordinates of all 12 atoms:
Tl1 0.3553 0.6053 0.2106
Tl2 0.6447 0.3947 0.7894
Sn1 0.0888 0.8389 0.6777
Sn2 0.9112 0.1611 0.3223
Cl1 0.9469 0.2630 0.0776
Cl2 0.6307 0.8146 0.0776
Cl3 0.2358 0.5264 0.5879
Cl4 0.7642 0.4736 0.4121
Cl5 0.1479 0.9384 0.4121
Cl6 0.3693 0.1854 0.9224
Cl7 0.8521 0.0616 0.5879
Cl8 0.0531 0.7370 0.9224

## Properties
- symmetry = C2/c (15)
- DOS at the Fermi energy (states/eV per cell) = 6.54
- total DFT energy (no corrections) (eV for the cell shown) = -38.418
- energy relative to the elements, uncorrected (kJ/mol of atoms) = -87.7



DFT (GGA-PBE) results for a relaxed structure of Tl2Sn2Cl5.

a = 7.5472 Å, b = 7.1936 Å, c = 12.0285 Å
α = 107.40°, β = 108.28°, γ = 90.00°
Fractional coordinates of all 18 atoms:
Tl1 0.0900 0.7357 0.3008
Tl2 0.9100 0.4350 0.6992
Tl3 0.7107 0.2357 0.3008
Tl4 0.2893 0.9350 0.6992
Sn1 0.0000 0.0208 0.0000
Sn2 0.5000 0.5208 0.0000
Sn3 0.4442 0.2162 0.5000
Sn4 0.5558 0.7162 0.5000
Cl1 0.2539 0.7431 0.8995
Cl2 0.7461 0.8436 0.1005
Cl3 0.1456 0.2431 0.8995
Cl4 0.8544 0.3436 0.1005
Cl5 0.2801 0.0719 0.2394
Cl6 0.7199 0.8325 0.7606
Cl7 0.4593 0.5719 0.2394
Cl8 0.5407 0.3325 0.7606
Cl9 0.1694 0.4374 0.5000
Cl10 0.8306 0.9374 0.5000

## Properties
- symmetry = Ima2 (46)
- total DFT energy (no corrections) (eV for the cell shown) = -59.724
- energy relative to the elements, uncorrected (kJ/mol of atoms) = -84.6



DFT (GGA-PBE) results for a relaxed structure of TlSn2Cl.

a = 4.3980 Å, b = 4.3980 Å, c = 12.7281 Å
α = 80.05°, β = 80.05°, γ = 90.00°
Fractional coordinates of all 8 atoms:
Tl1 0.0000 0.0000 0.0000
Tl2 0.7500 0.2500 0.5000
Sn1 0.6342 0.1250 0.2500
Sn2 0.1158 0.6250 0.2500
Sn3 0.3750 0.3658 0.7500
Sn4 0.8750 0.8842 0.7500
Cl1 0.5000 0.5000 0.0000
Cl2 0.2500 0.7500 0.5000

## Properties
- symmetry = I-42d (122)
- DOS at the Fermi energy (states/eV per cell) = 3.90
- total DFT energy (no corrections) (eV for the cell shown) = -26.098
- offset from the most stable computed form (meV per atom) = 0.0
- energy relative to the elements, uncorrected (kJ/mol of atoms) = -20.0



DFT (GGA-PBE) results for a relaxed structure of Tl2SnCl4.

a = 5.5829 Å, b = 5.5829 Å, c = 8.9037 Å
α = 71.73°, β = 71.73°, γ = 90.00°
Fractional coordinates of all 7 atoms:
Tl1 0.3600 0.3600 0.2801
Tl2 0.6400 0.6400 0.7199
Sn1 0.0000 0.0000 0.0000
Cl1 0.1758 0.1758 0.6483
Cl2 0.8242 0.8242 0.3517
Cl3 0.0000 0.5000 0.0000
Cl4 0.5000 0.0000 0.0000

## Properties
- symmetry = I4/mmm (139)
- DOS at the Fermi energy (states/eV per cell) = 0.00
- total DFT energy (no corrections) (eV for the cell shown) = -22.979
- offset from the most stable computed form (meV per atom) = 29.4
- energy relative to the elements, uncorrected (kJ/mol of atoms) = -94.5



DFT (GGA-PBE) results for a relaxed structure of Tl6Sn3Cl14.

a = 7.5750 Å, b = 11.2166 Å, c = 11.2166 Å
α = 120.00°, β = 90.00°, γ = 90.00°
Fractional coordinates of all 23 atoms:
Tl1 0.2473 0.8257 0.1112
Tl2 0.2473 0.8888 0.7145
Tl3 0.2473 0.2855 0.1743
Tl4 0.8305 0.5506 0.5353
Tl5 0.8305 0.4647 0.0153
Tl6 0.8305 0.9847 0.4494
Sn1 0.8045 0.0000 0.0000
Sn2 0.3756 0.3333 0.6667
Sn3 0.4321 0.6667 0.3333
Cl1 0.9757 0.0894 0.2369
Cl2 0.9757 0.7631 0.8525
Cl3 0.9757 0.1475 0.9106
Cl4 0.4890 0.2350 0.4449
Cl5 0.4890 0.5551 0.7901
Cl6 0.4890 0.2099 0.7650
Cl7 0.4074 0.0000 0.0000
Cl8 0.0696 0.3333 0.6667
Cl9 0.6565 0.7618 0.1917
Cl10 0.6565 0.8083 0.5700
Cl11 0.6565 0.4300 0.2382
Cl12 0.2188 0.5694 0.4788
Cl13 0.2188 0.5212 0.0906
Cl14 0.2188 0.9094 0.4306

## Properties
- symmetry = P3 (143)
- total DFT energy (no corrections) (eV for the cell shown) = -74.386
- energy relative to the elements, uncorrected (kJ/mol of atoms) = -93.7



DFT (GGA-PBE) results for a relaxed structure of Tl2SnCl.

a = 3.4143 Å, b = 5.8113 Å, c = 5.8113 Å
α = 90.00°, β = 90.00°, γ = 90.00°
Fractional coordinates of all 4 atoms:
Tl1 0.0000 0.0000 0.5000
Tl2 0.0000 0.5000 0.0000
Sn1 0.5000 0.5000 0.5000
Cl1 0.5000 0.0000 0.0000

## Properties
- symmetry = P4/mmm (123)
- DOS at the Fermi energy (states/eV per cell) = 1.05
- total DFT energy (no corrections) (eV for the cell shown) = -11.898
- offset from the most stable computed form (meV per atom) = 0.0
- energy relative to the elements, uncorrected (kJ/mol of atoms) = -31.7



DFT (GGA-PBE) results for a relaxed structure of Tl2SnCl.

a = 5.4338 Å, b = 5.4338 Å, c = 5.4338 Å
α = 60.00°, β = 60.00°, γ = 60.00°
Fractional coordinates of all 4 atoms:
Tl1 0.2500 0.2500 0.2500
Tl2 0.7500 0.7500 0.7500
Sn1 0.5000 0.5000 0.5000
Cl1 0.0000 0.0000 0.0000

## Properties
- symmetry = Fm-3m (225)
- DOS at the Fermi energy (states/eV per cell) = 4.68
- total DFT energy (no corrections) (eV for the cell shown) = -11.350
- offset from the most stable computed form (meV per atom) = 137.1
- energy relative to the elements, uncorrected (kJ/mol of atoms) = -18.5



DFT (GGA-PBE) results for a relaxed structure of Tl2SnCl4.

a = 4.3377 Å, b = 8.6840 Å, c = 8.4506 Å
α = 132.25°, β = 104.87°, γ = 90.00°
Fractional coordinates of all 7 atoms:
Tl1 0.6636 0.6638 0.3272
Tl2 0.3364 0.3362 0.6728
Sn1 0.0000 0.0000 0.0000
Cl1 0.9179 0.1991 0.8359
Cl2 0.0821 0.8009 0.1641
Cl3 0.6575 0.2605 0.3150
Cl4 0.3425 0.7395 0.6850

## Properties
- symmetry = C2/m (12)
- DOS at the Fermi energy (states/eV per cell) = 0.00
- total DFT energy (no corrections) (eV for the cell shown) = -23.107
- offset from the most stable computed form (meV per atom) = 11.2
- energy relative to the elements, uncorrected (kJ/mol of atoms) = -96.3